A plane-wave DFT calculation with GGA-PBE was carried out for a relaxed EuMg2Tl crystal.

The calculation puts the total DFT energy (no corrections) at -4.0486 eV per atom. The value obtained for the energy above the most stable polymorph in this dataset is 66 meV per atom. For the formation enthalpy at 0 K, the calculation gives -2.1 kcal/mol of atoms.

a b c (Å): 3.846 3.846 7.658
angles (deg): 90.00 90.00 90.00
Space group P4/mmm (No. 123)
Asymmetric unit:
Eu (0.000, 0.000, 0.000)
Mg (0.500, 0.500, 0.283)
Tl (0.000, 0.000, 0.500)


A plane-wave DFT calculation with GGA-PBE was carried out for a relaxed EuMg4Tl crystal.

The calculation puts the total DFT energy (no corrections) at -3.2087 eV per atom. For the formation enthalpy at 0 K, the calculation gives -0.9 kcal/mol of atoms.

a b c (Å): 8.688 8.688 8.688
angles (deg): 90.00 90.00 90.00
Space group F-43m (No. 216)
Asymmetric unit:
Eu (0.000, 0.000, 0.000)
Mg (0.125, 0.125, 0.625)
Tl (0.250, 0.250, 0.250)


A plane-wave DFT calculation with GGA-PBE was carried out for a relaxed EuMgTl crystal.

The calculation puts the total DFT energy (no corrections) at -4.8617 eV per atom. For the formation enthalpy at 0 K, the calculation gives -2.7 kcal/mol of atoms.

a b c (Å): 7.367 7.367 7.367
angles (deg): 90.00 90.00 90.00
Space group F-43m (No. 216)
Asymmetric unit:
Eu (0.000, 0.000, 0.000)
Mg (0.000, 0.000, 0.500)
Tl (0.250, 0.250, 0.250)


A plane-wave DFT calculation with GGA-PBE was carried out for a relaxed EuTmMgTl crystal.

The calculation puts the total DFT energy (no corrections) at -4.8936 eV per atom. For the formation enthalpy at 0 K, the calculation gives -5.0 kcal/mol of atoms.

a b c (Å): 7.695 7.695 7.695
angles (deg): 90.00 90.00 90.00
Space group F-43m (No. 216)
Asymmetric unit:
Eu (0.000, 0.000, 0.000)
Tm (0.000, 0.000, 0.500)
Mg (0.250, 0.250, 0.750)
Tl (0.250, 0.250, 0.250)


A plane-wave DFT calculation with GGA-PBE was carried out for a relaxed EuYMgTl crystal.

The calculation puts the total DFT energy (no corrections) at -5.4248 eV per atom. For the formation enthalpy at 0 K, the calculation gives -5.8 kcal/mol of atoms.

a b c (Å): 7.745 7.745 7.745
angles (deg): 90.00 90.00 90.00
Space group F-43m (No. 216)
Asymmetric unit:
Eu (0.000, 0.000, 0.000)
Y (0.000, 0.000, 0.500)
Mg (0.250, 0.250, 0.750)
Tl (0.250, 0.250, 0.250)


A plane-wave DFT calculation with GGA-PBE was carried out for a relaxed EuMgTlZn crystal.

The calculation puts the total DFT energy (no corrections) at -4.1284 eV per atom. For the formation enthalpy at 0 K, the calculation gives -5.8 kcal/mol of atoms.

a b c (Å): 7.322 7.322 7.322
angles (deg): 90.00 90.00 90.00
Space group F-43m (No. 216)
Asymmetric unit:
Eu (0.000, 0.000, 0.000)
Mg (0.000, 0.000, 0.500)
Tl (0.250, 0.250, 0.750)
Zn (0.250, 0.250, 0.250)


A plane-wave DFT calculation with GGA-PBE was carried out for a relaxed EuTmMg crystal.

The calculation puts the total DFT energy (no corrections) at -5.3579 eV per atom. The value obtained for the energy above the most stable polymorph in this dataset is 70 meV per atom. For the formation enthalpy at 0 K, the calculation gives 2.1 kcal/mol of atoms.

a b c (Å): 5.5825 5.5825 3.3860
angles (deg): 90.00 90.00 120.00
Space group P3m1 (No. 156)
Asymmetric unit:
Eu (0.0000, 0.0000, 0.0000)
Tm (0.3333, 0.6667, 0.3881)
Mg (0.6667, 0.3333, 0.6908)


A plane-wave DFT calculation with GGA-PBE was carried out for a relaxed EuTmMg4 crystal.

The calculation puts the total DFT energy (no corrections) at -3.5823 eV per atom. For the formation enthalpy at 0 K, the calculation gives -1.4 kcal/mol of atoms.

a b c (Å): 8.652 8.652 8.652
angles (deg): 90.00 90.00 90.00
Space group F-43m (No. 216)
Asymmetric unit:
Eu (0.000, 0.000, 0.000)
Tm (0.250, 0.250, 0.750)
Mg (0.124, 0.124, 0.376)


Number 1: magnetization 7.225 μB per formula unit. Number 2: magnetization 7.363 μB per formula unit. Number 3: magnetization 7.456 μB per formula unit. Number 4: magnetization 7.306 μB per formula unit. Number 5: magnetization 7.374 μB per formula unit. Number 6: magnetization 6.932 μB per formula unit. Number 7: magnetization 7.216 μB per formula unit. Number 8: magnetization 7.217 μB per formula unit.